# CuTcAs3, optimized geometry, DFT GGA-PBE
data_CuTcAs3
_cell_length_a 4.804
_cell_length_b 4.804
_cell_length_c 4.804
_cell_angle_alpha 90.00
_cell_angle_beta 90.00
_cell_angle_gamma 90.00
_space_group_name_H-M_alt 'P m -3 m'
_space_group_IT_number 221
_space_group_name_Hall '-P 4 2 3'
loop_
_atom_site_label
_atom_site_type_symbol
_atom_site_fract_x
_atom_site_fract_y
_atom_site_fract_z
_atom_site_occupancy
Cu1 Cu 0.000 0.000 0.000 1
Tc1 Tc 0.500 0.500 0.500 1
As1 As 0.000 0.500 0.500 1
# Relative energy among the computed polymorphs   0.0 meV/atom
# Crystal system   cubic
# Calculated formation energy   16.5 kcal/mol of atoms
# D(E_F)   6.270 states/eV/cell

---

# CuTcAs, optimized geometry, DFT GGA-PBE
data_CuTcAs
_cell_length_a 3.138
_cell_length_b 3.138
_cell_length_c 8.651
_cell_angle_alpha 90.00
_cell_angle_beta 90.00
_cell_angle_gamma 90.00
_space_group_name_H-M_alt 'I 4 m m'
_space_group_IT_number 107
_space_group_name_Hall 'I 4 -2'
loop_
_atom_site_label
_atom_site_type_symbol
_atom_site_fract_x
_atom_site_fract_y
_atom_site_fract_z
_atom_site_occupancy
Cu1 Cu 0.000 0.000 0.000 1
Tc1 Tc 0.000 0.000 0.318 1
As1 As 0.000 0.000 0.666 1
# Relative energy among the computed polymorphs   0.0 meV/atom
# Crystal system   tetragonal
# Calculated formation energy   2.9 kcal/mol of atoms
# D(E_F)   6.135 states/eV/cell

---

# CuTc2As, optimized geometry, DFT GGA-PBE
data_CuTc2As
_cell_length_a 3.034
_cell_length_b 4.396
_cell_length_c 8.733
_cell_angle_alpha 90.00
_cell_angle_beta 90.00
_cell_angle_gamma 90.00
_space_group_name_H-M_alt 'I m m m'
_space_group_IT_number 71
_space_group_name_Hall '-I 2 2'
loop_
_atom_site_label
_atom_site_type_symbol
_atom_site_fract_x
_atom_site_fract_y
_atom_site_fract_z
_atom_site_occupancy
Cu1 Cu 0.000 0.000 0.000 1
Tc1 Tc 0.000 0.500 0.220 1
As1 As 0.000 0.000 0.500 1
# Crystal system   orthorhombic
# Calculated formation energy   4.9 kcal/mol of atoms
# D(E_F)   6.396 states/eV/cell

---

# Cu2Tc2As, optimized geometry, DFT GGA-PBE
data_Cu2Tc2As
_cell_length_a 6.205
_cell_length_b 6.205
_cell_length_c 3.967
_cell_angle_alpha 90.00
_cell_angle_beta 90.00
_cell_angle_gamma 90.00
_space_group_name_H-M_alt 'P 4/m b m'
_space_group_IT_number 127
_space_group_name_Hall '-P 4 2ab'
loop_
_atom_site_label
_atom_site_type_symbol
_atom_site_fract_x
_atom_site_fract_y
_atom_site_fract_z
_atom_site_occupancy
Cu1 Cu 0.159 0.341 0.000 1
Tc1 Tc 0.138 0.638 0.500 1
As1 As 0.000 0.000 0.500 1
# Crystal system   tetragonal
# Calculated formation energy   6.0 kcal/mol of atoms
# D(E_F)   9.060 states/eV/cell

---

# CuTc2As, optimized geometry, DFT GGA-PBE
data_CuTc2As
_cell_length_a 5.387
_cell_length_b 8.370
_cell_length_c 2.829
_cell_angle_alpha 90.00
_cell_angle_beta 114.89
_cell_angle_gamma 90.00
_space_group_name_H-M_alt 'C 1 2/m 1'
_space_group_IT_number 12
loop_
_space_group_symop_operation_xyz
'x,y,z'
'-x,-y,-z'
'-x,y,-z'
'x,-y,z'
'x+1/2,y+1/2,z'
'-x+1/2,-y+1/2,-z'
'-x+1/2,y+1/2,-z'
'x+1/2,-y+1/2,z'
loop_
_atom_site_label
_atom_site_type_symbol
_atom_site_fract_x
_atom_site_fract_y
_atom_site_fract_z
_atom_site_occupancy
Cu1 Cu 0.000 0.000 0.000 1
Tc1 Tc 0.250 0.250 0.500 1
As1 As 0.000 0.500 0.000 1
# Crystal system   monoclinic
# Calculated formation energy   7.8 kcal/mol of atoms
# D(E_F)   8.253 states/eV/cell

---

# CuTc2As, optimized geometry, DFT GGA-PBE
data_CuTc2As
_cell_length_a 2.8669
_cell_length_b 2.8669
_cell_length_c 24.3671
_cell_angle_alpha 90.00
_cell_angle_beta 90.00
_cell_angle_gamma 120.00
_space_group_name_H-M_alt 'R -3 m'
_space_group_IT_number 166
_space_group_name_Hall '-R 3 2"'
loop_
_atom_site_label
_atom_site_type_symbol
_atom_site_fract_x
_atom_site_fract_y
_atom_site_fract_z
_atom_site_occupancy
Cu1 Cu 0.0000 0.0000 0.0000 1
Tc1 Tc 0.0000 0.0000 0.2468 1
As1 As 0.0000 0.0000 0.5000 1
# Crystal system   trigonal
# Calculated formation energy   5.8 kcal/mol of atoms
# D(E_F)   10.293 states/eV/cell

---

# CuTc2As, optimized geometry, DFT GGA-PBE
data_CuTc2As
_cell_length_a 2.896
_cell_length_b 4.664
_cell_length_c 8.951
_cell_angle_alpha 90.00
_cell_angle_beta 90.00
_cell_angle_gamma 90.00
_space_group_name_H-M_alt 'C m m 2'
_space_group_IT_number 35
loop_
_space_group_symop_operation_xyz
'x,y,z'
'-x,-y,z'
'-x,y,z'
'x,-y,z'
'x+1/2,y+1/2,z'
'-x+1/2,-y+1/2,z'
'-x+1/2,y+1/2,z'
'x+1/2,-y+1/2,z'
loop_
_atom_site_label
_atom_site_type_symbol
_atom_site_fract_x
_atom_site_fract_y
_atom_site_fract_z
_atom_site_occupancy
Cu1 Cu 0.000 0.000 0.000 1
Tc1 Tc 0.000 0.000 0.487 1
Tc2 Tc 0.000 0.500 0.249 1
As1 As 0.000 0.500 0.744 1
# Crystal system   orthorhombic
# Calculated formation energy   8.2 kcal/mol of atoms
# D(E_F)   6.563 states/eV/cell

---

# CuTc2As, optimized geometry, DFT GGA-PBE
data_CuTc2As
_cell_length_a 9.048
_cell_length_b 2.976
_cell_length_c 4.368
_cell_angle_alpha 90.00
_cell_angle_beta 107.55
_cell_angle_gamma 90.00
_space_group_name_H-M_alt 'C 1 m 1'
_space_group_IT_number 8
loop_
_space_group_symop_operation_xyz
'x,y,z'
'x,-y,z'
'x+1/2,y+1/2,z'
'x+1/2,-y+1/2,z'
loop_
_atom_site_label
_atom_site_type_symbol
_atom_site_fract_x
_atom_site_fract_y
_atom_site_fract_z
_atom_site_occupancy
Cu1 Cu 0.000 0.000 0.000 1
Tc1 Tc 0.008 0.500 0.503 1
Tc2 Tc 0.249 0.500 0.156 1
As1 As 0.255 0.000 0.678 1
# Crystal system   monoclinic
# Calculated formation energy   3.8 kcal/mol of atoms
# D(E_F)   7.257 states/eV/cell

---

# CuTc2As, optimized geometry, DFT GGA-PBE
data_CuTc2As
_cell_length_a 3.011
_cell_length_b 4.748
_cell_length_c 8.263
_cell_angle_alpha 90.00
_cell_angle_beta 90.00
_cell_angle_gamma 90.00
_space_group_name_H-M_alt 'C m m m'
_space_group_IT_number 65
_space_group_name_Hall '-C 2 2'
loop_
_atom_site_label
_atom_site_type_symbol
_atom_site_fract_x
_atom_site_fract_y
_atom_site_fract_z
_atom_site_occupancy
Cu1 Cu 0.000 0.000 0.000 1
Tc1 Tc 0.000 0.500 0.261 1
As1 As 0.000 0.000 0.500 1
# Crystal system   orthorhombic
# Calculated formation energy   10.6 kcal/mol of atoms
# D(E_F)   8.426 states/eV/cell

---

# CuTc2As, optimized geometry, DFT GGA-PBE
data_CuTc2As
_cell_length_a 2.885
_cell_length_b 3.888
_cell_length_c 5.266
_cell_angle_alpha 90.00
_cell_angle_beta 101.20
_cell_angle_gamma 90.00
_space_group_name_H-M_alt 'P 1 2/m 1'
_space_group_IT_number 10
loop_
_space_group_symop_operation_xyz
'x,y,z'
'-x,-y,-z'
'-x,y,-z'
'x,-y,z'
loop_
_atom_site_label
_atom_site_type_symbol
_atom_site_fract_x
_atom_site_fract_y
_atom_site_fract_z
_atom_site_occupancy
Cu1 Cu 0.000 0.000 0.000 1
Tc1 Tc 0.359 0.500 0.749 1
As1 As 0.000 0.000 0.500 1
# Crystal system   monoclinic
# Calculated formation energy   4.9 kcal/mol of atoms
# D(E_F)   4.120 states/eV/cell

---

# CuTc2As, optimized geometry, DFT GGA-PBE
data_CuTc2As
_cell_length_a 6.127
_cell_length_b 6.127
_cell_length_c 6.127
_cell_angle_alpha 90.00
_cell_angle_beta 90.00
_cell_angle_gamma 90.00
_space_group_name_H-M_alt 'F -4 3 m'
_space_group_IT_number 216
_space_group_name_Hall 'F -4 2 3'
loop_
_atom_site_label
_atom_site_type_symbol
_atom_site_fract_x
_atom_site_fract_y
_atom_site_fract_z
_atom_site_occupancy
Cu1 Cu 0.000 0.000 0.000 1
Tc1 Tc 0.000 0.000 0.500 1
Tc2 Tc 0.250 0.250 0.250 1
As1 As 0.250 0.250 0.750 1
# Crystal system   cubic
# Calculated formation energy   6.6 kcal/mol of atoms
# D(E_F)   12.754 states/eV/cell

---

# CuTc2As, optimized geometry, DFT GGA-PBE
data_CuTc2As
_cell_length_a 3.836
_cell_length_b 3.836
_cell_length_c 7.649
_cell_angle_alpha 90.00
_cell_angle_beta 90.00
_cell_angle_gamma 90.00
_space_group_name_H-M_alt 'I -4 m 2'
_space_group_IT_number 119
_space_group_name_Hall 'I -4 -2'
loop_
_atom_site_label
_atom_site_type_symbol
_atom_site_fract_x
_atom_site_fract_y
_atom_site_fract_z
_atom_site_occupancy
Cu1 Cu 0.000 0.000 0.000 1
Tc1 Tc 0.000 0.000 0.500 1
Tc2 Tc 0.000 0.500 0.750 1
As1 As 0.000 0.500 0.250 1
# Crystal system   tetragonal
# Calculated formation energy   5.3 kcal/mol of atoms
# D(E_F)   8.117 states/eV/cell

---

Q: D(E_F) of number 3 (CuTc2As)?
A: 6.396 states/eV/cell